A plane-wave DFT calculation with PBE-GGA was carried out for a relaxed structure of Pr2SmEr9.

Cell and atoms, written as POSCAR:
```
Pr2SmEr9
1.0
5.0219 0.0000 0.0000
0.0000 5.0219 0.0000
0.0000 0.0000 15.0577
Pr Sm Er
2 1 9
direct
0.0000 0.0000 0.1670
0.0000 0.0000 0.8330
0.0000 0.0000 0.5000
0.0000 0.5000 0.0000
0.0000 0.5000 0.3347
0.0000 0.5000 0.6653
0.5000 0.0000 0.0000
0.5000 0.0000 0.3347
0.5000 0.0000 0.6653
0.5000 0.5000 0.1675
0.5000 0.5000 0.5000
0.5000 0.5000 0.8325
```

Properties
density: 8.47 Mg/m³
M_tot: 0.00 μB per atom
space group: P4/mmm, No. 123
energy above the lowest structure with this stoichiometry: 0.0 meV/atom
N(E_F): 17.2 states/eV per cell
E_form: 26 meV per atom

---

A plane-wave DFT calculation with PBE-GGA was carried out for a relaxed structure of Pm3Sm3Ho2.

Cell and atoms, written as POSCAR:
```
Pm3Sm3Ho2
1.0
8.2557 -2.8915 0.0000
8.2557 2.8915 0.0000
-2.1932 0.0000 5.6251
Pm Sm Ho
3 3 2
direct
0.0000 0.0000 0.0000
0.1342 0.1342 0.6914
0.8658 0.8658 0.3086
0.3661 0.3661 0.9214
0.5000 0.5000 0.5000
0.6339 0.6339 0.0786
0.2500 0.2500 0.3177
0.7500 0.7500 0.6823
```

Properties
density: 7.52 Mg/m³
M_tot: 0.00 μB per atom
space group: C2/m, No. 12
energy above the lowest structure with this stoichiometry: 52.3 meV/atom
N(E_F): 13.4 states/eV per cell
E_form: 79 meV per atom

---

A plane-wave DFT calculation with PBE-GGA was carried out for a relaxed structure of NpU2P4.

Cell and atoms, written as POSCAR:
```
NpU2P4
1.0
1.9750 -6.5324 0.0000
1.9750 6.5324 0.0000
0.0000 0.0000 11.9752
Np U P
2 4 8
direct
0.1167 0.8833 0.7500
0.8833 0.1167 0.2500
0.3672 0.6328 0.5648
0.3672 0.6328 0.9352
0.6328 0.3672 0.0648
0.6328 0.3672 0.4352
0.0000 0.0000 0.0000
0.0000 0.0000 0.5000
0.2638 0.7362 0.1326
0.2638 0.7362 0.3674
0.4750 0.5250 0.7500
0.5250 0.4750 0.2500
0.7362 0.2638 0.6326
0.7362 0.2638 0.8674
```

Properties
density: 9.00 Mg/m³
M_tot: 0.96 μB per atom
space group: Cmcm, No. 63
N(E_F): 32.8 states/eV per cell
E_form: -659 meV per atom

---

A plane-wave DFT calculation with PBE-GGA was carried out for a relaxed structure of BaHg6Au3.

Cell and atoms, written as POSCAR:
```
BaHg6Au3
1.0
9.8333 0.0000 0.0000
0.0000 5.2756 0.0000
-1.4580 0.0000 9.9837
Ba Hg Au
2 12 6
direct
0.0661 0.2500 0.2660
0.9339 0.7500 0.7340
0.1376 0.2500 0.6327
0.1508 0.7500 0.0367
0.3180 0.7500 0.7635
0.3421 0.7500 0.2982
0.4012 0.2500 0.4838
0.4569 0.2500 0.8975
0.5431 0.7500 0.1025
0.5988 0.7500 0.5162
0.6579 0.2500 0.7018
0.6820 0.2500 0.2365
0.8492 0.2500 0.9633
0.8624 0.7500 0.3673
0.1577 0.2500 0.9223
0.1593 0.7500 0.4960
0.3819 0.2500 0.1648
0.6181 0.7500 0.8352
0.8407 0.2500 0.5040
0.8423 0.7500 0.0777
```

Properties
density: 12.39 Mg/m³
M_tot: 0.00 μB per atom
space group: P2_1/m, No. 11
N(E_F): 4.8 states/eV per cell
E_form: -204 meV per atom

---

A plane-wave DFT calculation with PBE-GGA was carried out for a relaxed structure of Er2ThCrC4.

Cell and atoms, written as POSCAR:
```
Er2ThCrC4
1.0
1.7392 -5.9121 0.0000
1.7392 5.9121 0.0000
0.0000 0.0000 11.8532
Er Th Cr C
4 2 2 8
direct
0.1312 0.8688 0.5452
0.1312 0.8688 0.9548
0.8688 0.1312 0.0452
0.8688 0.1312 0.4548
0.4062 0.5938 0.7500
0.5938 0.4062 0.2500
0.3291 0.6709 0.2500
0.6709 0.3291 0.7500
0.0842 0.9158 0.7500
0.2338 0.7662 0.1330
0.2338 0.7662 0.3670
0.5000 0.5000 0.0000
0.5000 0.5000 0.5000
0.7662 0.2338 0.6330
0.7662 0.2338 0.8670
0.9158 0.0842 0.2500
```

Properties
density: 9.08 Mg/m³
M_tot: 0.00 μB per atom
space group: Cmcm, No. 63
N(E_F): 5.4 states/eV per cell
E_form: -158 meV per atom

---

A plane-wave DFT calculation with PBE-GGA was carried out for a relaxed structure of PrZn2Pt4.

Cell and atoms, written as POSCAR:
```
PrZn2Pt4
1.0
4.3269 -3.4110 0.0000
4.3269 3.4110 0.0000
-3.2168 0.0000 4.1918
Pr Zn Pt
1 2 4
direct
0.0000 0.0000 0.0000
0.5003 0.5003 0.2500
0.4997 0.4997 0.7500
0.0008 0.5990 0.2996
0.4010 0.9992 0.7004
0.5990 0.0008 0.2996
0.9992 0.4010 0.7004
```

Properties
density: 14.12 Mg/m³
M_tot: 0.00 μB per atom
space group: C2/m, No. 12
energy above the lowest structure with this stoichiometry: 0.0 meV/atom
N(E_F): 3.9 states/eV per cell
E_form: -648 meV per atom

---

A plane-wave DFT calculation with PBE-GGA was carried out for a relaxed structure of PrBe4Sn3O12.

Cell and atoms, written as POSCAR:
```
PrBe4Sn3O12
1.0
5.1204 2.9562 2.6119
-5.1204 2.9562 2.6119
0.0000 -5.9125 2.6119
Pr Be Sn O
1 4 3 12
direct
0.0000 0.0000 0.0000
0.0596 0.5000 0.9404
0.5000 0.5000 0.5000
0.5000 0.9404 0.0596
0.9404 0.0596 0.5000
0.0000 0.5543 0.4457
0.4457 0.0000 0.5543
0.5543 0.4457 0.0000
0.0298 0.6414 0.7826
0.0920 0.9080 0.5000
0.2174 0.3586 0.9702
0.3491 0.6509 0.5000
0.3586 0.9702 0.2174
0.5000 0.0920 0.9080
0.5000 0.3491 0.6509
0.6414 0.7826 0.0298
0.6509 0.5000 0.3491
0.7826 0.0298 0.6414
0.9080 0.5000 0.0920
0.9702 0.2174 0.3586
```

Properties
uncorrected formation energy: -2.137 eV/atom
density: 5.08 Mg/m³
M_tot: 0.06 μB per atom
space group: R32, No. 155
N(E_F): 11.6 states/eV per cell

---

A plane-wave DFT calculation with PBE-GGA was carried out for a relaxed structure of Cr2CoRu.

Cell and atoms, written as POSCAR:
```
Cr2CoRu
1.0
-1.4517 2.0566 4.0808
1.4517 -2.0566 4.0808
1.4517 2.0566 -4.0808
Cr Co Ru
2 1 1
direct
0.0000 0.0000 0.0000
0.7812 0.2812 0.5000
0.5288 0.5288 0.0000
0.2533 0.7533 0.5000
```

Properties
density: 9.00 Mg/m³
M_tot: 0.37 μB per atom
space group: Imm2, No. 44
N(E_F): 5.3 states/eV per cell
E_form: 171 meV per atom

---

A plane-wave DFT calculation with PBE-GGA was carried out for a relaxed structure of La2YSnN.

Cell and atoms, written as POSCAR:
```
La2YSnN
1.0
5.1063 0.0000 0.0000
0.0000 5.1063 0.0000
0.0000 0.0000 4.8591
La Y Sn N
2 1 1 1
direct
0.0000 0.5000 0.0000
0.5000 0.0000 0.0000
0.0000 0.0000 0.5000
0.5000 0.5000 0.5000
0.0000 0.0000 0.0000
```

Properties
uncorrected formation energy: -1.008 eV/atom
density: 6.55 Mg/m³
M_tot: 0.00 μB per atom
space group: P4/mmm, No. 123
N(E_F): 3.1 states/eV per cell

---

A plane-wave DFT calculation with PBE-GGA was carried out for a relaxed structure of YMgTl3.

Cell and atoms, written as POSCAR:
```
YMgTl3
1.0
5.3462 0.0000 0.0000
0.0000 5.3462 0.0000
0.0000 0.0000 5.3462
Y Mg Tl
1 1 3
direct
0.0000 0.0000 0.0000
0.5000 0.5000 0.5000
0.0000 0.5000 0.5000
0.5000 0.0000 0.5000
0.5000 0.5000 0.0000
```

Properties
density: 7.89 Mg/m³
M_tot: 0.00 μB per atom
space group: Pm-3m, No. 221
energy above the lowest structure with this stoichiometry: 0.0 meV/atom
N(E_F): 1.8 states/eV per cell
E_form: 241 meV per atom

---

A plane-wave DFT calculation with PBE-GGA was carried out for a relaxed structure of CrNi6Ru.

Cell and atoms, written as POSCAR:
```
CrNi6Ru
1.0
5.0740 0.0000 0.0000
0.0000 5.0740 0.0000
0.0000 0.0000 3.5966
Cr Ni Ru
1 6 1
direct
0.0000 0.0000 0.0000
0.0000 0.5000 0.0000
0.2490 0.2490 0.5000
0.2490 0.7510 0.5000
0.5000 0.0000 0.0000
0.7510 0.2490 0.5000
0.7510 0.7510 0.5000
0.5000 0.5000 0.0000
```

Properties
density: 9.06 Mg/m³
M_tot: 0.77 μB per atom
space group: P4/mmm, No. 123
N(E_F): 12.6 states/eV per cell
E_form: 88 meV per atom

---

A plane-wave DFT calculation with PBE-GGA was carried out for a relaxed structure of Cs2BePt.

Cell and atoms, written as POSCAR:
```
Cs2BePt
1.0
0.0000 4.1677 4.1677
4.1677 0.0000 4.1677
4.1677 4.1677 0.0000
Cs Be Pt
2 1 1
direct
0.2500 0.2500 0.2500
0.7500 0.7500 0.7500
0.0000 0.0000 0.0000
0.5000 0.5000 0.5000
```

Properties
density: 5.39 Mg/m³
M_tot: 0.00 μB per atom
space group: Fm-3m, No. 225
energy above the lowest structure with this stoichiometry: 0.0 meV/atom
N(E_F): 0.0 states/eV per cell
E_form: 764 meV per atom

---

A plane-wave DFT calculation with PBE-GGA was carried out for a relaxed structure of RbS.

Cell and atoms, written as POSCAR:
```
RbS
1.0
2.5367 -5.3585 0.0000
2.5367 5.3585 0.0000
0.0000 0.0000 4.8713
Rb S
2 2
direct
0.1455 0.8545 0.7500
0.8545 0.1455 0.2500
0.4656 0.5344 0.7500
0.5344 0.4656 0.2500
```

Properties
uncorrected formation energy: -0.724 eV/atom
density: 2.95 Mg/m³
M_tot: 0.00 μB per atom
space group: Cmcm, No. 63
N(E_F): 2.4 states/eV per cell

---

A plane-wave DFT calculation with PBE-GGA was carried out for a relaxed structure of Sm3Sn3Pd.

Cell and atoms, written as POSCAR:
```
Sm3Sn3Pd
1.0
5.6961 -2.3020 0.0000
5.6961 2.3020 0.0000
-4.9822 0.0000 14.2508
Sm Sn Pd
6 6 2
direct
0.0306 0.0306 0.3820
0.0970 0.0970 0.9213
0.2383 0.2383 0.2307
0.7617 0.7617 0.7693
0.9030 0.9030 0.0787
0.9694 0.9694 0.6180
0.3604 0.3604 0.4561
0.3718 0.3718 0.9242
0.4741 0.4741 0.7649
0.5259 0.5259 0.2351
0.6282 0.6282 0.0758
0.6396 0.6396 0.5439
0.2608 0.2608 0.6087
0.7392 0.7392 0.3913
```

Properties
density: 8.12 Mg/m³
M_tot: 0.00 μB per atom
space group: C2/m, No. 12
N(E_F): 9.3 states/eV per cell
E_form: -826 meV per atom

---

A plane-wave DFT calculation with PBE-GGA was carried out for a relaxed structure of TiPtAu3.

Cell and atoms, written as POSCAR:
```
TiPtAu3
1.0
4.8647 0.0000 0.0000
0.0000 4.8647 0.0000
0.0000 0.0000 4.8647
Ti Pt Au
1 1 3
direct
0.0000 0.0000 0.0000
0.5000 0.5000 0.5000
0.0000 0.0000 0.5000
0.0000 0.5000 0.0000
0.5000 0.0000 0.0000
```

Properties
density: 12.03 Mg/m³
M_tot: 0.00 μB per atom
space group: Pm-3m, No. 221
energy above the lowest structure with this stoichiometry: 119.7 meV/atom
N(E_F): 8.8 states/eV per cell
E_form: 1075 meV per atom

---

A plane-wave DFT calculation with PBE-GGA was carried out for a relaxed structure of CuSbRh2.

Cell and atoms, written as POSCAR:
```
CuSbRh2
1.0
-2.1061 2.1061 3.3992
2.1061 -2.1061 3.3992
2.1061 2.1061 -3.3992
Cu Sb Rh
1 1 2
direct
0.0000 0.0000 0.0000
0.5000 0.5000 0.0000
0.2500 0.7500 0.5000
0.7500 0.2500 0.5000
```

Properties
uncorrected formation energy: -0.304 eV/atom
density: 10.77 Mg/m³
M_tot: 0.00 μB per atom
space group: I4/mmm, No. 139
energy above the lowest structure with this stoichiometry: 0.0 meV/atom
N(E_F): 1.6 states/eV per cell

---

A plane-wave DFT calculation with PBE-GGA was carried out for a relaxed structure of Ru4Au.

Cell and atoms, written as POSCAR:
```
Ru4Au
1.0
-1.8631 1.8631 5.8514
1.8631 -1.8631 5.8514
1.8631 1.8631 -5.8514
Ru Au
4 1
direct
0.1020 0.1020 0.0000
0.2500 0.7500 0.5000
0.7500 0.2500 0.5000
0.8980 0.8980 0.0000
0.5000 0.5000 0.0000
```

Properties
density: 12.29 Mg/m³
M_tot: 0.00 μB per atom
space group: I4/mmm, No. 139
energy above the lowest structure with this stoichiometry: 269.9 meV/atom
N(E_F): 6.3 states/eV per cell
E_form: 554 meV per atom

---

A plane-wave DFT calculation with PBE-GGA was carried out for a relaxed structure of LiScZn6.

Cell and atoms, written as POSCAR:
```
LiScZn6
1.0
4.3993 0.0000 0.0000
0.0000 2.9160 4.9882
0.0000 -2.9160 4.9882
Li Sc Zn
1 1 6
direct
0.0000 0.0000 0.0000
0.5000 0.3259 0.3259
0.0000 0.5004 0.5004
0.0000 0.5074 0.9809
0.0000 0.9809 0.5074
0.5000 0.3382 0.8209
0.5000 0.8209 0.3382
0.5000 0.8280 0.8280
```

Properties
density: 5.77 Mg/m³
M_tot: 0.00 μB per atom
space group: Amm2, No. 38
energy above the lowest structure with this stoichiometry: 22.0 meV/atom
N(E_F): 2.2 states/eV per cell
E_form: -207 meV per atom

---

A plane-wave DFT calculation with PBE-GGA was carried out for a relaxed structure of Cs2LiNF6.

Cell and atoms, written as POSCAR:
```
Cs2LiNF6
1.0
-2.8946 2.8946 4.7153
2.8946 -2.8946 4.7153
2.8946 2.8946 -4.7153
Cs Li N F
2 1 1 6
direct
0.2500 0.7500 0.5000
0.7500 0.2500 0.5000
0.0000 0.0000 0.0000
0.5000 0.5000 0.0000
0.2665 0.2665 0.5329
0.2665 0.7335 0.0000
0.3092 0.3092 0.0000
0.6908 0.6908 0.0000
0.7335 0.2665 0.0000
0.7335 0.7335 0.4671
```

Properties
uncorrected formation energy: -1.530 eV/atom
density: 4.21 Mg/m³
M_tot: 0.00 μB per atom
space group: I4/mmm, No. 139
N(E_F): 0.0 states/eV per cell

---

A plane-wave DFT calculation with PBE-GGA was carried out for a relaxed structure of Pu4HgIrPd2.

Cell and atoms, written as POSCAR:
```
Pu4HgIrPd2
1.0
2.5365 1.4645 8.1171
-2.5365 1.4645 8.1171
0.0000 -2.9289 8.1171
Pu Hg Ir Pd
4 1 1 2
direct
0.1129 0.1129 0.1129
0.3639 0.3639 0.3639
0.6361 0.6361 0.6361
0.8871 0.8871 0.8871
0.5000 0.5000 0.5000
0.0000 0.0000 0.0000
0.2367 0.2367 0.2367
0.7633 0.7633 0.7633
```

Properties
density: 14.52 Mg/m³
M_tot: 2.78 μB per atom
space group: R-3m, No. 166
N(E_F): 31.7 states/eV per cell
E_form: -345 meV per atom